(1)
This record from Alexandria via LeMat-Bulk describes a geometry-optimized Re3Se structure. The functional is PBE.

Results
Calculated total energy (eV/atom): -9.649
E above lowest polymorph (eV per atom): 0.252
Spin magnetization (μB/f.u.): 0.0

Unit cell a=7.168 b=8.214 c=4.276 alpha=90.00 beta=90.00 gamma=90.00
Space group Cmcm (No. 63)
Asymmetric unit:
Re1 0.000 0.206 0.250
Re2 0.203 0.091 0.750
Se1 0.000 0.375 0.750

(2)
This record from Alexandria via LeMat-Bulk describes a geometry-optimized BaLi2Mo structure. The functional is PBE.

Results
Calculated total energy (eV/atom): -3.214
E above lowest polymorph (eV per atom): 0.200
ΔE_f (kJ/mol of formula units): 359.3
Spin magnetization (μB/f.u.): 3.0

Unit cell a=3.963 b=5.191 c=5.192 alpha=90.00 beta=90.00 gamma=90.00
Space group Pmmm (No. 47)
Asymmetric unit:
Ba1 0.000 0.000 0.000
Li1 0.000 0.500 0.500
Li2 0.500 0.000 0.500
Mo1 0.500 0.500 0.000

(3)
This record from Alexandria via LeMat-Bulk describes a geometry-optimized Tb3AgN structure. The functional is PBE.

Results
Calculated total energy (eV/atom): -5.802
E above lowest polymorph (eV per atom): 0.000
Spin magnetization (μB/f.u.): 0.0

Unit cell a=6.863 b=9.466 c=6.818 alpha=90.00 beta=90.00 gamma=90.00
Space group Imma (No. 74)
Asymmetric unit:
Tb1 0.000 0.250 0.085
Tb2 0.250 0.045 0.750
Ag1 0.000 0.250 0.511
N1 0.000 0.000 0.000

(4)
This record from Alexandria via LeMat-Bulk describes a geometry-optimized ErMgHg6 structure. The functional is PBE.

Results
Calculated total energy (eV/atom): -0.927
E above lowest polymorph (eV per atom): 0.264
ΔE_f (kJ/mol of formula units): 52.9
Spin magnetization (μB/f.u.): 0.0

Unit cell a=6.2801 b=6.2801 c=22.8965 alpha=90.00 beta=90.00 gamma=120.00
Space group R-3m (No. 166, hexagonal axes)
Asymmetric unit:
Er1 0.0000 0.0000 0.0000
Mg1 0.0000 0.0000 0.5000
Hg1 0.0114 0.5057 0.4354

(5)
This record from Alexandria via LeMat-Bulk describes a geometry-optimized Cs2BrClF6 structure. The functional is PBE.

Results
Calculated total energy (eV/atom): -3.195
Spin magnetization (μB/f.u.): 0.0

Unit cell a=9.727 b=9.727 c=9.727 alpha=90.00 beta=90.00 gamma=90.00
Space group Fm-3m (No. 225)
Asymmetric unit:
Cs1 0.250 0.250 0.250
Br1 0.000 0.000 0.000
Cl1 0.000 0.000 0.500
F1 0.000 0.000 0.200

(6)
This record from Alexandria via LeMat-Bulk describes a geometry-optimized SrPm4Te5 structure. The functional is PBE.

Results
Calculated total energy (eV/atom): -5.103
E above lowest polymorph (eV per atom): 0.000
Spin magnetization (μB/f.u.): 0.0

Unit cell a=15.080 b=4.486 c=11.063 alpha=90.00 beta=119.61 gamma=90.00
Space group C2/m (No. 12)
Asymmetric unit:
Sr1 0.000 0.000 0.000
Pm1 0.095 0.500 0.404
Pm2 0.196 0.000 0.785
Te1 0.000 0.000 0.500
Te2 0.108 0.500 0.901
Te3 0.199 0.000 0.307

(7)
This record from Alexandria via LeMat-Bulk describes a geometry-optimized CoReHg2S structure. The functional is PBE.

Results
Calculated total energy (eV/atom): -3.661
Spin magnetization (μB/f.u.): 3.7

Unit cell a=5.127 b=5.127 c=4.000 alpha=90.00 beta=90.00 gamma=90.00
Space group P4/mmm (No. 123)
Asymmetric unit:
Co1 0.000 0.000 0.000
Re1 0.500 0.500 0.500
Hg1 0.000 0.500 0.000
S1 0.000 0.000 0.500

(8)
This record from Alexandria via LeMat-Bulk describes a geometry-optimized YTlPb structure. The functional is PBE.

Results
Calculated total energy (eV/atom): -4.367
E above lowest polymorph (eV per atom): 0.142
ΔE_f (kJ/mol of formula units): -54.2
Spin magnetization (μB/f.u.): 0.0

Unit cell a=4.945 b=6.014 c=11.725 alpha=90.00 beta=90.00 gamma=90.00
Space group Fmm2 (No. 42)
Asymmetric unit:
Y1 0.000 0.000 0.000
Tl1 0.000 0.000 0.334
Pb1 0.000 0.000 0.672

(9)
This record from Alexandria via LeMat-Bulk describes a geometry-optimized PrZn2Rh2 structure. The functional is PBE.

Results
Calculated total energy (eV/atom): -4.912
E above lowest polymorph (eV per atom): 0.000
ΔE_f (kJ/mol of formula units): -243.9
Spin magnetization (μB/f.u.): 0.0

Unit cell a=4.149 b=4.149 c=21.719 alpha=90.00 beta=90.00 gamma=90.00
Space group I4/mmm (No. 139)
Asymmetric unit:
Pr1 0.000 0.000 0.130
Zn1 0.000 0.000 0.317
Zn2 0.000 0.500 0.000
Rh1 0.000 0.000 0.432
Rh2 0.000 0.500 0.250

(10)
This record from Alexandria via LeMat-Bulk describes a geometry-optimized PmTmGaAu structure. The functional is PBE.

Results
Calculated total energy (eV/atom): -4.571
E above lowest polymorph (eV per atom): 0.000
ΔE_f (kJ/mol of formula units): -266.2
Spin magnetization (μB/f.u.): 0.0

Unit cell a=4.565 b=3.802 c=11.287 alpha=90.00 beta=90.00 gamma=90.00
Space group Amm2 (No. 38)
Asymmetric unit:
Pm1 0.000 0.000 0.000
Tm1 0.500 0.000 0.713
Ga1 0.000 0.000 0.268
Au1 0.500 0.000 0.426

(11)
This record from Alexandria via LeMat-Bulk describes a geometry-optimized Zr2Be2AlCo5 structure. The functional is PBE.

Results
Calculated total energy (eV/atom): -6.808
ΔE_f (kJ/mol of formula units): -411.1
Spin magnetization (μB/f.u.): 0.0

Unit cell a=8.857 b=8.857 c=3.112 alpha=90.00 beta=90.00 gamma=90.00
Space group P4/mbm (No. 127)
Asymmetric unit:
Zr1 0.178 0.322 0.000
Be1 0.118 0.618 0.000
Al1 0.000 0.000 0.000
Co1 0.000 0.500 0.500
Co2 0.067 0.784 0.500

(12)
This record from Alexandria via LeMat-Bulk describes a geometry-optimized SrSiPd11 structure. The functional is PBE.

Results
Calculated total energy (eV/atom): -5.263
Spin magnetization (μB/f.u.): 0.0

Unit cell a=5.230 b=13.013 c=6.779 alpha=90.00 beta=107.51 gamma=90.00
Space group C2/m (No. 12)
Asymmetric unit:
Sr1 0.000 0.000 0.000
Si1 0.000 0.500 0.500
Pd1 0.000 0.000 0.500
Pd2 0.085 0.391 0.244
Pd3 0.138 0.180 0.349
Pd4 0.250 0.250 0.000

Among the records above, which one has the lowest calculated total energy? Re3Se

Among the records above, which one has the highest spin magnetization? CoReHg2S

Number 12 is which compound? SrSiPd11